# 1
A plane-wave DFT calculation with GGA-PBE was carried out for Cd2InBBr after structural relaxation.

Calculated values
- D(E_F): 2.53 states/eV per cell
- Uncorrected formation energy: 0.631 eV/atom
- Size of the total moment: 0.000 μB per atom

```
data_Cd2InBBr
_space_group_name_H-M_alt 'P 4/m m m'
_space_group_IT_number 123
_space_group_name_Hall '-P 4 2'
_cell_length_a 5.734
_cell_length_b 5.734
_cell_length_c 4.261
_cell_angle_alpha 90.00
_cell_angle_beta 90.00
_cell_angle_gamma 90.00
loop_
_atom_site_label
_atom_site_fract_x
_atom_site_fract_y
_atom_site_fract_z
Cd1 0.000 0.500 0.000
In1 0.000 0.000 0.000
B1 0.000 0.000 0.500
Br1 0.500 0.500 0.500
```



# 2
A plane-wave DFT calculation with GGA-PBE was carried out for La2CdBBr after structural relaxation.

Calculated values
- D(E_F): 5.06 states/eV per cell
- Uncorrected formation energy: 1.078 eV/atom
- Size of the total moment: 0.591 μB per atom

```
data_La2CdBBr
_space_group_name_H-M_alt 'P 4/m m m'
_space_group_IT_number 123
_space_group_name_Hall '-P 4 2'
_cell_length_a 5.971
_cell_length_b 5.971
_cell_length_c 5.309
_cell_angle_alpha 90.00
_cell_angle_beta 90.00
_cell_angle_gamma 90.00
loop_
_atom_site_label
_atom_site_fract_x
_atom_site_fract_y
_atom_site_fract_z
La1 0.000 0.500 0.000
Cd1 0.000 0.000 0.000
B1 0.500 0.500 0.500
Br1 0.000 0.000 0.500
```



# 3
A plane-wave DFT calculation with GGA-PBE was carried out for LiCdBBr2 after structural relaxation.

Calculated values
- D(E_F): 0.99 states/eV per cell
- Uncorrected formation energy: 0.233 eV/atom
- Size of the total moment: 0.000 μB per atom

```
data_LiCdBBr2
_space_group_name_H-M_alt 'P 4/m m m'
_space_group_IT_number 123
_space_group_name_Hall '-P 4 2'
_cell_length_a 5.893
_cell_length_b 5.893
_cell_length_c 4.376
_cell_angle_alpha 90.00
_cell_angle_beta 90.00
_cell_angle_gamma 90.00
loop_
_atom_site_label
_atom_site_fract_x
_atom_site_fract_y
_atom_site_fract_z
Li1 0.000 0.000 0.000
Cd1 0.500 0.500 0.500
B1 0.500 0.500 0.000
Br1 0.000 0.500 0.500
```



# 4
A plane-wave DFT calculation with GGA-PBE was carried out for MnCdB2Br after structural relaxation.

Calculated values
- D(E_F): 2.94 states/eV per cell
- Uncorrected formation energy: 0.952 eV/atom
- Size of the total moment: 0.241 μB per atom

```
data_MnCdB2Br
_space_group_name_H-M_alt 'P 4/m m m'
_space_group_IT_number 123
_space_group_name_Hall '-P 4 2'
_cell_length_a 3.957
_cell_length_b 3.957
_cell_length_c 5.398
_cell_angle_alpha 90.00
_cell_angle_beta 90.00
_cell_angle_gamma 90.00
loop_
_atom_site_label
_atom_site_fract_x
_atom_site_fract_y
_atom_site_fract_z
Mn1 0.000 0.000 0.000
Cd1 0.500 0.500 0.500
B1 0.000 0.500 0.000
Br1 0.000 0.000 0.500
```